[1]
Material: PrTe5
Method: DFT, PBE
State: optimized geometry

abc: 9.7909 9.7909 4.4036
angles: 90.00 90.00 153.00
Atoms (fractional coordinates):
Pr1 0.0000 0.0000 0.0000
Te1 0.1509 0.8491 0.5000
Te2 0.3462 0.6538 0.0000
Te3 0.5000 0.5000 0.5000
Te4 0.6538 0.3462 0.0000
Te5 0.8491 0.1509 0.5000

As for the mass density: 6.75 g cm⁻³. The density of states at the Fermi level is 0.9813 states/eV per atom. The total magnetization is 0.00 μB/f.u. The calculation puts the calculated total energy at -3.84 eV per atom. For the formation energy (no corrections), the calculation gives -2.54 eV/f.u.


[2]
Material: Pr3Te
Method: DFT, PBE
State: optimized geometry

abc: 12.9491 12.9491 6.2971
angles: 90.00 90.00 90.00
Atoms (fractional coordinates):
Pr1 0.0339 0.5728 0.2439
Pr2 0.0728 0.9661 0.7439
Pr3 0.1103 0.2237 0.0333
Pr4 0.1416 0.6671 0.7165
Pr5 0.1671 0.8584 0.2165
Pr6 0.2237 0.3897 0.4667
Pr7 0.2763 0.1103 0.4667
Pr8 0.3329 0.6416 0.2165
Pr9 0.3584 0.8329 0.7165
Pr10 0.3897 0.2763 0.0333
Pr11 0.4272 0.5339 0.7439
Pr12 0.4661 0.9272 0.2439
Pr13 0.5339 0.0728 0.7561
Pr14 0.5728 0.4661 0.2561
Pr15 0.6103 0.7237 0.9667
Pr16 0.6416 0.1671 0.2835
Pr17 0.6671 0.3584 0.7835
Pr18 0.7237 0.8897 0.5333
Pr19 0.7763 0.6103 0.5333
Pr20 0.8329 0.1416 0.7835
Pr21 0.8584 0.3329 0.2835
Pr22 0.8897 0.7763 0.9667
Pr23 0.9272 0.0339 0.2561
Pr24 0.9661 0.4272 0.7561
Te1 0.0469 0.2082 0.5368
Te2 0.2082 0.4531 0.9632
Te3 0.2918 0.0469 0.9632
Te4 0.4531 0.2918 0.5368
Te5 0.5469 0.7082 0.4632
Te6 0.7082 0.9531 0.0368
Te7 0.7918 0.5469 0.0368
Te8 0.9531 0.7918 0.4632

The energy above the lowest structure with this stoichiometry is 0 meV/atom. As for the mass density: 6.92 g cm⁻³. The density of states at the Fermi level is 1.1762 states/eV per atom. The total magnetization is 0.00 μB/f.u. The calculation puts the calculated total energy at -5.08 eV per atom. For the formation energy (no corrections), the calculation gives -2.86 eV/f.u.


[3]
Material: Pr3Te
Method: DFT, PBE
State: optimized geometry

abc: 3.9292 5.4500 5.9657
angles: 90.00 90.00 90.00
Atoms (fractional coordinates):
Pr1 0.0000 0.0000 0.0000
Pr2 0.0000 0.5000 0.4221
Pr3 0.5000 0.0000 0.5375
Te1 0.5000 0.5000 0.9009

The energy above the lowest structure with this stoichiometry is 176 meV/atom. As for the mass density: 7.15 g cm⁻³. The density of states at the Fermi level is 0.8513 states/eV per atom. The total magnetization is 0.00 μB/f.u. The calculation puts the calculated total energy at -4.91 eV per atom. For the formation energy (no corrections), the calculation gives -2.15 eV/f.u.